Entry 1:
Below is a geometry-optimized LaAgBr structure, with properties calculated at the PBE level.

## Properties
Space group: F-43m
Raw formation energy, eV/atom: -0.4743
Offset from the most stable computed form, kJ per mole of atoms: 47.0
D(E_F), states/eV per atom: 1.18
Total magnetization, μB per cell: 0.0

abc: 5.0260 5.0260 5.0260
angles: 60.00 60.00 60.00
Closest atoms and distances in Å follow each position.
Element x y z (fractional)
La1 0.0000 0.0000 0.0000  4 Br 3.08
Ag1 0.5000 0.5000 0.5000  4 Br 3.08
Br1 0.2500 0.2500 0.2500  4 La 3.08, 4 Ag 3.08

Entry 2:
Below is a geometry-optimized LaAgBr2 structure, with properties calculated at the PBE level.

## Properties
Space group: R-3m
Raw formation energy, eV/atom: -0.9024
Offset from the most stable computed form, kJ per mole of atoms: 15.9
D(E_F), states/eV per atom: 0.57
Total magnetization, μB per cell: 0.0

abc: 10.1440 10.1440 10.1440
angles: 21.97 21.97 21.97
Closest atoms and distances in Å follow each position.
Element x y z (fractional)
La1 0.0000 0.0000 0.0000  6 Br 3.05
Ag1 0.5000 0.5000 0.5000  2 Br 2.87
Br1 0.4032 0.4032 0.4032  1 Ag 2.87, 3 La 3.05
Br2 0.5968 0.5968 0.5968  1 Ag 2.87, 3 La 3.05

Entry 3:
Below is a geometry-optimized LaAgBr4 structure, with properties calculated at the PBE level.

## Properties
Space group: C2/m
Raw formation energy, eV/atom: -1.4014
Offset from the most stable computed form, kJ per mole of atoms: 0.0
D(E_F), states/eV per atom: 0.00
Total magnetization, μB per cell: 0.0

abc: 8.1156 8.1156 7.2560
angles: 114.74 114.74 31.34
Closest atoms and distances in Å follow each position.
Element x y z (fractional)
La1 0.0000 0.0000 0.0000  6 Br 2.92-2.98
Ag1 0.5000 0.5000 0.5000  6 Br 2.89-3.13
Br1 0.1073 0.1073 0.4450  2 Ag 2.89, 1 La 2.92
Br2 0.3764 0.3764 0.0265  2 La 2.98, 1 Ag 3.13
Br3 0.6236 0.6236 0.9735  2 La 2.98, 1 Ag 3.13
Br4 0.8927 0.8927 0.5550  2 Ag 2.89, 1 La 2.92